(1)
Computed, not measured: a relaxed Sc2ZnOs crystal at the PBE level of DFT.

Calculated values
Energy relative to the elements in eV per atom: -0.46
SG: P4/mmm
E_tot in eV per atom: -6.7516
Spin magnetization in μB/f.u.: 0.01
Relative energy among the computed polymorphs in meV per atom: 0

Cell and atoms, written as POSCAR:
```
Sc2ZnOs
1.0
3.2769 0.0000 0.0000
0.0000 3.2769 0.0000
0.0000 0.0000 6.6189
Os Sc Zn
1 2 1
Cartesian
0.0000 0.0000 0.0000 Os
1.6385 1.6385 1.5274 Sc
1.6385 1.6385 5.0914 Sc
0.0000 0.0000 3.3094 Zn
```

(2)
Computed, not measured: a relaxed Sc2ZnOs crystal at the PBE level of DFT.

Calculated values
Energy relative to the elements in eV per atom: -0.15
SG: F-43m
E_tot in eV per atom: -6.4354
Spin magnetization in μB/f.u.: 0.02
Relative energy among the computed polymorphs in meV per atom: 316

Cell and atoms, written as POSCAR:
```
Sc2ZnOs
1.0
0.0000 3.2328 3.2328
3.2328 0.0000 3.2328
3.2328 3.2328 0.0000
Os Sc Zn
1 2 1
Cartesian
4.8492 4.8492 4.8492 Os
0.0000 0.0000 0.0000 Sc
1.6164 1.6164 1.6164 Sc
3.2328 3.2328 3.2328 Zn
```

(3)
Computed, not measured: a relaxed Sc2ZnOs crystal at the PBE level of DFT.

Calculated values
Energy relative to the elements in eV per atom: 0.14
SG: P6_3/mmc
E_tot in eV per atom: -6.1502
Spin magnetization in μB/f.u.: 0.00
Relative energy among the computed polymorphs in meV per atom: 601

Cell and atoms, written as POSCAR:
```
Sc2ZnOs
1.0
2.0380 3.9326 -1.7084
-3.8932 0.3239 2.6974
4.3960 0.4544 6.2902
Os Sc Zn
2 4 2
Cartesian
-0.8171 1.6404 2.8013 Os
3.3579 3.0705 4.4778 Os
0.4226 2.7671 0.2777 Sc
1.8973 2.9195 2.3878 Sc
0.6435 1.7914 4.8914 Sc
2.1182 1.9438 7.0015 Sc
0.0000 0.0000 0.0000 Zn
2.1980 0.2272 3.1451 Zn
```

(4)
Computed, not measured: a relaxed ZrScOs2 crystal at the PBE level of DFT.

Calculated values
Energy relative to the elements in eV per atom: -0.47
SG: P4/mmm
E_tot in eV per atom: -9.8036
Spin magnetization in μB/f.u.: 0.00
Relative energy among the computed polymorphs in meV per atom: 6

Cell and atoms, written as POSCAR:
```
ZrScOs2
1.0
-1.1997 4.3985 0.4928
0.2919 -0.4308 4.5561
3.1303 0.8671 -0.1186
Os Sc Zr
2 1 1
Cartesian
0.9653 2.6328 0.1871 Os
1.7111 0.2181 2.2187 Os
0.0000 0.0000 0.0000 Sc
-0.4539 1.9838 2.5244 Zr
```

- Among the records above, which one has the lowest energy relative to the elements?
  ZrScOs2

- Which of these has the lowest energy relative to the elements?
  ZrScOs2

- What is the E_tot in the first record?
  -6.7516 eV per atom